No. 1
Material: KTl2In
Method: DFT, PBE
State: optimized geometry

abc: 10.9978 3.4507 6.9525
angles: 90.00 97.45 90.00
Last column: nearest neighbours and their distance in Å.
Space group Cm (No. 8)
One atom of each set of equivalent atoms:
K  0.0000  0.0000  0.0000 (multiplicity 2)  2 K 3.45, 5 Tl 3.49-3.83, 3 In 3.57-3.67
Tl  0.2437  0.0000  0.7242 (multiplicity 2)  5 Tl 3.41-3.45, 3 K 3.49-3.63, 2 In 3.49
Tl  0.4989  0.0000  0.4921 (multiplicity 2)  3 In 3.31-3.34, 5 Tl 3.41-3.45
In  0.2552  0.5000  0.2904 (multiplicity 2)  5 Tl 3.31-3.49, 2 In 3.45, 3 K 3.57-3.67

Computed properties:
For the formation energy, the calculation gives -0.023 eV per atom. The calculation puts the magnetization at 0.00 μB per cell. The total energy is -17.3 eV for the cell shown.

***

No. 2
Material: ScOs2Cl
Method: DFT, PBE
State: optimized geometry

abc: 3.0004 4.9120 8.8379
angles: 90.00 90.00 90.00
Last column: nearest neighbours and their distance in Å.
Space group Cmmm (No. 65)
One atom of each set of equivalent atoms:
Sc  0.0000  0.0000  0.0000 (multiplicity 2)  4 Os 2.66, 4 Sc 2.88
Os  0.0000  0.5000  0.2487 (multiplicity 4)  2 Sc 2.66, 2 Cl 2.68, 4 Os 2.88
Cl  0.0000  0.0000  0.5000 (multiplicity 2)  4 Os 2.68, 6 Cl 2.88-3.00

Computed properties:
The calculation puts the magnetization at 0.00 μB per cell. The formation energy from raw total energies comes out at 0.5870 eV per atom. The total energy is -56.6 eV for the cell shown. The energy above the most stable polymorph in this dataset is 701 meV per atom.

***

No. 3
Material: Cr3OsRu
Method: DFT, PBE
State: optimized geometry

abc: 4.3272 4.3272 4.3272
angles: 90.00 90.00 90.00
Last column: nearest neighbours and their distance in Å.
Space group Pm-3m (No. 221)
One atom of each set of equivalent atoms:
Cr  0.0000  0.0000  0.5000 (multiplicity 3)  2 Ru 2.16
Os  0.5000  0.5000  0.5000 (multiplicity 1)  12 Cr 3.06
Ru  0.0000  0.0000  0.0000 (multiplicity 1)  6 Cr 2.16

Computed properties:
For the formation energy, the calculation gives 1.819 eV per atom. The calculation puts the magnetization at 0.00 μB per cell. The total energy is -40.3 eV for the cell shown.

***

No. 4
Material: Er4Te2AsAu
Method: DFT, PBE
State: optimized geometry

abc: 7.3859 4.1374 7.4290
angles: 90.00 108.51 90.00
Last column: nearest neighbours and their distance in Å.
Space group P2/m (No. 10)
One atom of each set of equivalent atoms:
Er  0.2214  0.0000  0.2368 (multiplicity 2)  2 As 2.87, 1 Au 2.92, 3 Te 3.10-3.13
Er  0.2206  0.5000  0.7414 (multiplicity 2)  2 Au 2.88, 1 As 2.89, 3 Te 3.12-3.13
Te  0.5000  0.0000  0.0000 (multiplicity 1)  6 Er 3.10-3.12
Te  0.5000  0.5000  0.5000 (multiplicity 1)  6 Er 3.13
As  0.0000  0.5000  0.0000 (multiplicity 1)  6 Er 2.87-2.89
Au  0.0000  0.0000  0.5000 (multiplicity 1)  6 Er 2.88-2.92

Computed properties:
The calculation puts the magnetization at 0.00 μB per cell. The formation energy from raw total energies comes out at -1.2162 eV per atom. The total energy is -42.2 eV for the cell shown.

***

No. 5
Material: TcPt3Au
Method: DFT, PBE
State: optimized geometry

abc: 4.9225 4.9225 4.9225
angles: 90.00 90.00 90.00
Last column: nearest neighbours and their distance in Å.
Space group Pm-3m (No. 221)
One atom of each set of equivalent atoms:
Tc  0.0000  0.0000  0.0000 (multiplicity 1)  12 Pt 3.48
Pt  0.0000  0.5000  0.5000 (multiplicity 3)  2 Au 2.46
Au  0.5000  0.5000  0.5000 (multiplicity 1)  6 Pt 2.46

Computed properties:
For the formation energy, the calculation gives 1.794 eV per atom. The calculation puts the magnetization at 4.53 μB per cell. The total energy is -22.8 eV for the cell shown. The energy above the most stable polymorph in this dataset is 509 meV per atom.

***

No. 6
Material: YGa7Pd5
Method: DFT, PBE
State: optimized geometry

abc: 5.5247 9.1866 8.6164
angles: 90.00 90.00 90.00
Last column: nearest neighbours and their distance in Å.
Space group Imm2 (No. 44)
One atom of each set of equivalent atoms:
Y  0.0000  0.0000  0.0000 (multiplicity 2)  8 Ga 2.96-3.28, 4 Pd 3.30
Ga  0.0000  0.0000  0.3434 (multiplicity 2)  1 Ga 2.51
Ga  0.0000  0.0000  0.6351 (multiplicity 2)  1 Ga 2.51, 4 Pd 2.72
Ga  0.0000  0.3082  0.5127 (multiplicity 4)  5 Pd 2.58-2.65, 1 Ga 2.79
Ga  0.0000  0.3437  0.9862 (multiplicity 4)  5 Pd 2.62-2.76, 2 Ga 2.78-2.87
Ga  0.0000  0.5000  0.2621 (multiplicity 2)  4 Pd 2.52, 4 Ga 2.78-2.79
Pd  0.0000  0.5000  0.7313 (multiplicity 2)  4 Ga 2.58-2.62, 4 Pd 2.85
Pd  0.2490  0.2703  0.2533 (multiplicity 8)  6 Ga 2.52-2.76, 2 Pd 2.75-2.77

Computed properties:
For the formation energy, the calculation gives -0.601 eV per atom. The calculation puts the magnetization at 0.00 μB per cell. The total energy is -122.9 eV for the cell shown.

***

No. 7
Material: SrLiLa2N
Method: DFT, PBE
State: optimized geometry

abc: 5.0596 5.0596 5.7059
angles: 90.00 90.00 90.00
Last column: nearest neighbours and their distance in Å.
Space group P4/mmm (No. 123)
One atom of each set of equivalent atoms:
Sr  0.0000  0.0000  0.0000 (multiplicity 1)  2 N 2.85
Li  0.5000  0.5000  0.0000 (multiplicity 1)  4 Sr 3.58, 8 La 3.81
La  0.0000  0.5000  0.5000 (multiplicity 2)  2 N 2.53
N  0.0000  0.0000  0.5000 (multiplicity 1)  4 La 2.53

Computed properties:
The calculation puts the magnetization at 0.00 μB per cell. The formation energy from raw total energies comes out at -0.4047 eV per atom. The total energy is -23.8 eV for the cell shown. The energy above the most stable polymorph in this dataset is 0 meV per atom.

***

No. 8
Material: CsFe3Te
Method: DFT, PBE
State: optimized geometry

abc: 4.9191 4.9191 4.9191
angles: 90.00 90.00 90.00
Last column: nearest neighbours and their distance in Å.
Space group Pm-3m (No. 221)
One atom of each set of equivalent atoms:
Cs  0.0000  0.0000  0.0000 (multiplicity 1)  6 Fe 2.46
Fe  0.0000  0.0000  0.5000 (multiplicity 3)  2 Cs 2.46
Te  0.5000  0.5000  0.5000 (multiplicity 1)  12 Fe 3.48

Computed properties:
The calculation puts the magnetization at 7.56 μB per cell. The formation energy from raw total energies comes out at 2.2600 eV per atom. The total energy is -18.1 eV for the cell shown. The energy above the most stable polymorph in this dataset is 1140 meV per atom.